(1)
First-principles (PBE-GGA) data for a geometry-optimized TiTe6Mo2 structure, as listed in Alexandria.

The structure belongs to space group C2/m (No. 12); the cell edges are 15.9452, 3.5873 and 10.3911 Å and the angles 90.00°, 119.64° and 90.00°. The inequivalent atoms are Ti at (0.0000, 0.0000, 0.0000), Te at (0.0336, 0.0000, 0.2881), Te at (0.1452, 0.5000, 0.0610), Te at (0.1816, 0.5000, 0.6232) and Mo at (0.1866, 0.5000, 0.3684).


(2)
First-principles (PBE-GGA) data for a geometry-optimized TiTe2Mo structure, as listed in Alexandria.

The structure belongs to space group Fm-3m (No. 225); the cell edges are 6.7765, 6.7765 and 6.7765 Å and the angles 90.00°, 90.00° and 90.00°. The inequivalent atoms are Ti at (0.0000, 0.0000, 0.0000), Te at (0.2500, 0.2500, 0.2500) and Mo at (0.0000, 0.0000, 0.5000).

As for the energy relative to the lowest polymorph listed for this composition: 0.0000 eV/atom.


(3)
First-principles (PBE-GGA) data for a geometry-optimized TiTe3Mo structure, as listed in Alexandria.

The structure belongs to space group Pm-3m (No. 221); the cell edges are 5.3047, 5.3047 and 5.3047 Å and the angles 90.00°, 90.00° and 90.00°. The inequivalent atoms are Ti at (0.0000, 0.0000, 0.0000), Te at (0.0000, 0.0000, 0.5000) and Mo at (0.5000, 0.5000, 0.5000).

As for the energy relative to the lowest polymorph listed for this composition: 0.0000 eV/atom.


(4)
First-principles (PBE-GGA) data for a geometry-optimized Ti2Te6Mo structure, as listed in Alexandria.

The structure belongs to space group C2/m (No. 12); the cell edges are 17.9946, 3.6435 and 8.4367 Å and the angles 90.00°, 113.76° and 90.00°. The inequivalent atoms are Ti at (0.1602, 0.0000, 0.3192), Te at (0.0014, 0.0000, 0.7534), Te at (0.1656, 0.5000, 0.0803), Te at (0.1683, 0.5000, 0.5738) and Mo at (0.0000, 0.5000, 0.0000).

As for the energy relative to the lowest polymorph listed for this composition: 0.0000 eV/atom.


(5)
First-principles (PBE-GGA) data for a geometry-optimized TiTe2Mo structure, as listed in Alexandria.

The structure belongs to space group I-42d (No. 122); the cell edges are 5.1307, 5.1307 and 15.8831 Å and the angles 90.00°, 90.00° and 90.00°. The inequivalent atoms are Ti at (0.0000, 0.0000, 0.0000), Te at (0.2415, 0.2500, 0.6250) and Mo at (0.0000, 0.0000, 0.5000).

As for the energy relative to the lowest polymorph listed for this composition: 0.3895 eV/atom.


(6)
First-principles (PBE-GGA) data for a geometry-optimized YTiTeMo2 structure, as listed in Alexandria.

The structure belongs to space group P4/mmm (No. 123); the cell edges are 4.6218, 4.6218 and 5.3234 Å and the angles 90.00°, 90.00° and 90.00°. The inequivalent atoms are Y at (0.0000, 0.0000, 0.0000), Ti at (0.5000, 0.5000, 0.5000), Te at (0.5000, 0.5000, 0.0000) and Mo at (0.0000, 0.5000, 0.5000).


Number 1: ρ 6.5 Mg/m³, formation energy from raw total energies -0.3516 eV per atom. Number 2: ρ 8.5 Mg/m³, formation energy from raw total energies -0.0213 eV per atom. Number 3: ρ 5.9 Mg/m³, formation energy from raw total energies 0.6398 eV per atom. Number 4: ρ 6.3 Mg/m³, formation energy from raw total energies -0.4828 eV per atom. Number 5: ρ 6.3 Mg/m³, formation energy from raw total energies 0.3683 eV per atom. Number 6: ρ 6.7 Mg/m³, formation energy from raw total energies 0.7629 eV per atom.